# 1
DFT (PBE) results for Pa3Ga12Cu after structural relaxation.

Cell lengths 4.283, 4.283, 16.505 Å; angles 90.00, 90.00, 90.00 degrees
Fractional coordinates of all 16 atoms:
1 Pa 0.000 0.000 0.763
2 Ga 0.500 0.000 0.369
3 Ga 0.000 0.500 0.369
4 Pa 0.000 0.000 0.237
5 Ga 0.500 0.500 0.751
6 Ga 0.000 0.500 0.895
7 Ga 0.500 0.500 0.500
8 Ga 0.500 0.000 0.895
9 Ga 0.500 0.500 0.000
10 Pa 0.000 0.000 0.500
11 Ga 0.500 0.000 0.631
12 Cu 0.000 0.000 0.000
13 Ga 0.500 0.500 0.249
14 Ga 0.500 0.000 0.105
15 Ga 0.000 0.500 0.631
16 Ga 0.000 0.500 0.105

Output
N(E_F) = 0.9329 states/eV per atom
E_form = -261.8 meV/atom
DFT total energy = -4.57 eV/atom

=====

# 2
DFT (PBE) results for PaGaCu after structural relaxation.

Cell lengths 4.452, 4.452, 4.452 Å; angles 60.00, 60.00, 60.00 degrees
Fractional coordinates of all 3 atoms:
1 Ga 0.000 0.000 0.000
2 Cu 0.250 0.250 0.250
3 Pa 0.500 0.500 0.500

Output
N(E_F) = 1.2296 states/eV per atom
E_form = -92.4 meV/atom
DFT total energy = -5.63 eV/atom

=====

# 3
DFT (PBE) results for PaGa4Cu6 after structural relaxation.

Cell lengths 4.010, 6.910, 6.910 Å; angles 120.00, 90.00, 90.00 degrees
Fractional coordinates of all 11 atoms:
1 Cu 0.500 0.208 0.792
2 Cu 0.500 0.208 0.416
3 Ga 0.500 0.805 0.195
4 Ga 0.500 0.390 0.195
5 Cu 0.000 0.539 0.079
6 Ga 0.000 0.333 0.667
7 Cu 0.000 0.921 0.461
8 Cu 0.500 0.584 0.792
9 Ga 0.500 0.805 0.610
10 Pa 0.000 0.000 0.000
11 Cu 0.000 0.539 0.461

Output
N(E_F) = 0.5070 states/eV per atom
E_form = -147.6 meV/atom
DFT total energy = -4.35 eV/atom

=====

# 4
DFT (PBE) results for Pa3Ga4Cu2 after structural relaxation.

Cell lengths 4.406, 5.607, 8.354 Å; angles 110.72, 90.00, 113.14 degrees
Fractional coordinates of all 9 atoms:
1 Pa 0.000 0.000 0.000
2 Ga 0.922 0.845 0.600
3 Cu 0.646 0.292 0.310
4 Cu 0.354 0.708 0.690
5 Pa 0.652 0.304 0.672
6 Ga 0.283 0.567 0.942
7 Ga 0.078 0.155 0.400
8 Ga 0.717 0.433 0.058
9 Pa 0.348 0.696 0.328

Output
N(E_F) = 0.8867 states/eV per atom
E_form = -268.4 meV/atom
ΔE to the lowest computed polymorph = 0.0 meV/atom
DFT total energy = -5.69 eV/atom

=====

# 5
DFT (PBE) results for Pa4Ga12Cu after structural relaxation.

Cell lengths 7.500, 7.500, 7.500 Å; angles 109.47, 109.47, 109.47 degrees
Fractional coordinates of all 17 atoms:
1 Ga 0.000 0.291 0.291
2 Pa 0.000 0.000 0.500
3 Ga 0.709 0.000 0.709
4 Pa 0.000 0.500 0.000
5 Ga 0.250 0.500 0.750
6 Ga 0.500 0.750 0.250
7 Ga 0.750 0.250 0.500
8 Ga 0.291 0.000 0.291
9 Cu 0.000 0.000 0.000
10 Ga 0.000 0.709 0.709
11 Ga 0.750 0.500 0.250
12 Ga 0.250 0.750 0.500
13 Ga 0.709 0.709 0.000
14 Pa 0.500 0.000 0.000
15 Ga 0.291 0.291 0.000
16 Ga 0.500 0.250 0.750
17 Pa 0.500 0.500 0.500

Output
N(E_F) = 1.1301 states/eV per atom
E_form = -352.9 meV/atom
DFT total energy = -4.96 eV/atom

=====

# 6
DFT (PBE) results for Pa2Ga9Cu after structural relaxation.

Cell lengths 4.282, 4.282, 12.179 Å; angles 90.00, 90.00, 90.00 degrees
Fractional coordinates of all 12 atoms:
1 Pa 0.000 0.000 0.677
2 Ga 0.500 0.000 0.143
3 Pa 0.000 0.000 0.323
4 Ga 0.500 0.000 0.500
5 Ga 0.000 0.500 0.143
6 Ga 0.500 0.500 0.335
7 Ga 0.000 0.500 0.857
8 Ga 0.000 0.500 0.500
9 Cu 0.000 0.000 0.000
10 Ga 0.500 0.500 0.665
11 Ga 0.500 0.500 0.000
12 Ga 0.500 0.000 0.857

Output
N(E_F) = 0.8718 states/eV per atom
E_form = -219.8 meV/atom
DFT total energy = -4.41 eV/atom

=====

# 7
DFT (PBE) results for Pa3Ga3Cu2 after structural relaxation.

Cell lengths 4.329, 5.522, 14.303 Å; angles 90.00, 90.00, 113.08 degrees
Fractional coordinates of all 16 atoms:
1 Cu 0.208 0.416 0.402
2 Pa 0.362 0.725 0.750
3 Ga 0.344 0.688 0.250
4 Ga 0.616 0.232 0.461
5 Ga 0.656 0.312 0.750
6 Cu 0.792 0.584 0.902
7 Ga 0.384 0.768 0.539
8 Ga 0.384 0.768 0.961
9 Pa 0.638 0.275 0.250
10 Cu 0.792 0.584 0.598
11 Pa 0.089 0.179 0.615
12 Cu 0.208 0.416 0.098
13 Pa 0.911 0.821 0.115
14 Ga 0.616 0.232 0.039
15 Pa 0.089 0.179 0.885
16 Pa 0.911 0.821 0.385

Output
N(E_F) = 1.1951 states/eV per atom
E_form = -229.0 meV/atom
DFT total energy = -5.95 eV/atom

=====

# 8
DFT (PBE) results for Pa3Ga4Cu4 after structural relaxation.

Cell lengths 3.433, 4.383, 13.517 Å; angles 80.67, 82.70, 90.00 degrees
Fractional coordinates of all 11 atoms:
1 Cu 0.260 0.259 0.482
2 Cu 0.596 0.096 0.808
3 Ga 0.692 0.192 0.617
4 Pa 0.144 0.644 0.712
5 Ga 0.308 0.808 0.383
6 Ga 0.450 0.451 0.099
7 Cu 0.740 0.741 0.518
8 Ga 0.550 0.549 0.901
9 Pa 0.856 0.356 0.288
10 Pa 0.000 0.000 0.000
11 Cu 0.404 0.904 0.192

Output
N(E_F) = 0.8568 states/eV per atom
E_form = -211.8 meV/atom
DFT total energy = -5.39 eV/atom

=====

# 9
DFT (PBE) results for PaGaCu4 after structural relaxation.

Cell lengths 4.141, 7.188, 6.394 Å; angles 90.00, 90.00, 90.00 degrees
Fractional coordinates of all 12 atoms:
1 Pa 0.000 0.365 0.250
2 Cu 0.500 0.322 0.549
3 Cu 0.500 0.949 0.750
4 Pa 0.000 0.635 0.750
5 Cu 0.500 0.678 0.049
6 Cu 0.500 0.051 0.250
7 Ga 0.000 0.239 0.750
8 Cu 0.500 0.322 0.951
9 Ga 0.000 0.761 0.250
10 Cu 0.000 0.000 0.500
11 Cu 0.500 0.678 0.451
12 Cu 0.000 0.000 0.000

Output
N(E_F) = 0.7436 states/eV per atom
E_form = 33.4 meV/atom
ΔE to the lowest computed polymorph = 65.1 meV/atom
DFT total energy = -4.78 eV/atom

=====

# 10
DFT (PBE) results for Pa2Ga3Cu2 after structural relaxation.

Cell lengths 4.341, 6.649, 9.335 Å; angles 90.00, 103.45, 90.00 degrees
Fractional coordinates of all 14 atoms:
1 Pa 0.047 0.750 0.094
2 Ga 0.563 0.064 0.127
3 Ga 0.563 0.436 0.127
4 Cu 0.690 0.560 0.380
5 Ga 0.781 0.250 0.561
6 Cu 0.310 0.440 0.620
7 Pa 0.841 0.750 0.681
8 Ga 0.437 0.936 0.873
9 Cu 0.690 0.940 0.380
10 Cu 0.310 0.060 0.620
11 Pa 0.953 0.250 0.906
12 Ga 0.219 0.750 0.439
13 Pa 0.159 0.250 0.319
14 Ga 0.437 0.564 0.873

Output
N(E_F) = 0.8833 states/eV per atom
E_form = -259.6 meV/atom
ΔE to the lowest computed polymorph = 0.0 meV/atom
DFT total energy = -5.44 eV/atom

=====

# 11
DFT (PBE) results for Pa2Ga4Cu3 after structural relaxation.

Cell lengths 5.718, 7.542, 7.835 Å; angles 90.00, 111.40, 90.00 degrees
Fractional coordinates of all 18 atoms:
1 Pa 0.609 0.906 0.219
2 Cu 0.980 0.250 0.459
3 Cu 0.020 0.750 0.541
4 Ga 0.808 0.250 0.116
5 Ga 0.678 0.518 0.356
6 Cu 0.500 0.500 0.000
7 Ga 0.692 0.750 0.884
8 Ga 0.178 0.982 0.356
9 Ga 0.822 0.018 0.644
10 Cu 0.520 0.750 0.541
11 Pa 0.391 0.094 0.781
12 Cu 0.480 0.250 0.459
13 Ga 0.192 0.750 0.884
14 Ga 0.308 0.250 0.116
15 Pa 0.109 0.594 0.219
16 Ga 0.322 0.482 0.644
17 Pa 0.891 0.406 0.781
18 Cu 0.000 0.000 0.000

Output
N(E_F) = 1.0182 states/eV per atom
E_form = -226.0 meV/atom
DFT total energy = -5.05 eV/atom

=====

# 12
DFT (PBE) results for Pa3Ga5Cu2 after structural relaxation.

Cell lengths 6.123, 8.556, 8.556 Å; angles 74.61, 69.03, 69.03 degrees
Fractional coordinates of all 20 atoms:
1 Cu 0.159 0.703 0.979
2 Ga 0.492 0.258 0.258
3 Ga 0.620 0.235 0.526
4 Pa 0.885 0.884 0.346
5 Ga 0.380 0.765 0.474
6 Ga 0.508 0.742 0.742
7 Pa 0.750 0.000 0.000
8 Cu 0.341 0.021 0.297
9 Pa 0.250 0.000 0.000
10 Cu 0.841 0.297 0.021
11 Ga 0.992 0.258 0.258
12 Pa 0.615 0.654 0.116
13 Ga 0.750 0.500 0.500
14 Ga 0.008 0.742 0.742
15 Ga 0.250 0.500 0.500
16 Cu 0.659 0.979 0.703
17 Pa 0.385 0.346 0.884
18 Pa 0.115 0.116 0.654
19 Ga 0.880 0.474 0.765
20 Ga 0.120 0.526 0.235

Output
N(E_F) = 1.1357 states/eV per atom
E_form = -62.5 meV/atom
DFT total energy = -5.24 eV/atom

=====

# 13
DFT (PBE) results for Pa2Ga6Cu after structural relaxation.

Cell lengths 4.512, 4.512, 8.539 Å; angles 90.00, 90.00, 90.00 degrees
Fractional coordinates of all 9 atoms:
1 Pa 0.500 0.500 0.748
2 Ga 0.000 0.500 0.500
3 Pa 0.500 0.500 0.252
4 Ga 0.000 0.500 0.000
5 Cu 0.000 0.000 0.000
6 Ga 0.000 0.000 0.293
7 Ga 0.000 0.000 0.707
8 Ga 0.500 0.000 0.000
9 Ga 0.500 0.000 0.500

Output
N(E_F) = 1.3340 states/eV per atom
E_form = -174.1 meV/atom
ΔE to the lowest computed polymorph = 0.0 meV/atom
DFT total energy = -4.76 eV/atom

=====

# 14
DFT (PBE) results for PaGaCu after structural relaxation.

Cell lengths 4.409, 5.603, 5.472 Å; angles 72.97, 66.24, 66.83 degrees
Fractional coordinates of all 6 atoms:
1 Ga 0.165 0.370 0.300
2 Ga 0.835 0.630 0.700
3 Cu 0.833 0.211 0.123
4 Cu 0.167 0.789 0.877
5 Pa 0.525 0.209 0.741
6 Pa 0.475 0.791 0.259

Output
N(E_F) = 1.2179 states/eV per atom
E_form = -222.8 meV/atom
DFT total energy = -5.76 eV/atom

=====

# 15
DFT (PBE) results for PaGa2Cu2 after structural relaxation.

Cell lengths 4.074, 4.075, 5.895 Å; angles 110.24, 110.24, 90.00 degrees
Fractional coordinates of all 5 atoms:
1 Ga 0.250 0.750 0.500
2 Cu 0.386 0.387 0.773
3 Cu 0.614 0.613 0.227
4 Ga 0.750 0.250 0.500
5 Pa 0.000 0.000 0.000

Output
N(E_F) = 0.7365 states/eV per atom
E_form = -230.6 meV/atom
ΔE to the lowest computed polymorph = 39.1 meV/atom
DFT total energy = -4.98 eV/atom

=====

# 16
DFT (PBE) results for Pa2Ga2Cu3 after structural relaxation.

Cell lengths 4.181, 6.685, 9.337 Å; angles 90.00, 102.94, 90.00 degrees
Fractional coordinates of all 14 atoms:
1 Pa 0.848 0.750 0.695
2 Cu 0.440 0.932 0.880
3 Cu 0.777 0.250 0.554
4 Pa 0.954 0.250 0.908
5 Pa 0.152 0.250 0.305
6 Cu 0.560 0.068 0.120
7 Ga 0.313 0.058 0.627
8 Ga 0.687 0.942 0.373
9 Cu 0.560 0.432 0.120
10 Pa 0.046 0.750 0.092
11 Cu 0.223 0.750 0.446
12 Ga 0.313 0.442 0.627
13 Cu 0.440 0.568 0.880
14 Ga 0.687 0.558 0.373

Output
N(E_F) = 1.1055 states/eV per atom
E_form = -103.6 meV/atom
ΔE to the lowest computed polymorph = 0.0 meV/atom
DFT total energy = -5.44 eV/atom

=====

# 17
DFT (PBE) results for PaGaCu after structural relaxation.

Cell lengths 3.043, 3.043, 6.222 Å; angles 104.16, 104.16, 90.00 degrees
Last column: magnetic moment on the atom in μB.
Fractional coordinates of all 3 atoms:
1 Pa 0.337 0.337 0.674  0.49
2 Ga 0.642 0.642 0.284  0.00
3 Cu 0.021 0.021 0.042  0.01

Output
N(E_F) = 1.3606 states/eV per atom
E_form = -91.3 meV/atom
DFT total energy = -5.63 eV/atom

=====

# 18
DFT (PBE) results for Pa2Ga3Cu after structural relaxation.

Cell lengths 4.071, 4.115, 7.810 Å; angles 105.27, 105.10, 90.00 degrees
Fractional coordinates of all 6 atoms:
1 Ga 0.296 0.796 0.592
2 Ga 0.538 0.538 0.077
3 Pa 0.122 0.122 0.244
4 Pa 0.877 0.377 0.755
5 Cu 0.459 0.959 0.919
6 Ga 0.707 0.707 0.414

Output
N(E_F) = 1.1594 states/eV per atom
E_form = -243.5 meV/atom
ΔE to the lowest computed polymorph = 23.7 meV/atom
DFT total energy = -5.60 eV/atom

=====

# 19
DFT (PBE) results for PaGa2Cu3 after structural relaxation.

Cell lengths 4.163, 4.163, 13.069 Å; angles 90.00, 90.00, 120.00 degrees
Fractional coordinates of all 12 atoms:
1 Cu 0.000 0.000 0.000
2 Cu 0.667 0.333 0.905
3 Ga 0.667 0.333 0.395
4 Pa 0.000 0.000 0.750
5 Ga 0.667 0.333 0.105
6 Cu 0.000 0.000 0.500
7 Cu 0.333 0.667 0.095
8 Ga 0.333 0.667 0.605
9 Pa 0.000 0.000 0.250
10 Cu 0.333 0.667 0.405
11 Cu 0.667 0.333 0.595
12 Ga 0.333 0.667 0.895

Output
N(E_F) = 0.8263 states/eV per atom
E_form = -158.8 meV/atom
ΔE to the lowest computed polymorph = 0.0 meV/atom
DFT total energy = -4.80 eV/atom

=====

# 20
DFT (PBE) results for PaGaCu after structural relaxation.

Cell lengths 3.279, 4.447, 4.447 Å; angles 120.00, 90.00, 90.00 degrees
Fractional coordinates of all 3 atoms:
1 Ga 0.166 0.000 0.000
2 Pa 0.666 0.667 0.333
3 Cu 0.168 0.333 0.667

Output
N(E_F) = 1.2039 states/eV per atom
E_form = -234.2 meV/atom
DFT total energy = -5.77 eV/atom

=====

# 21
DFT (PBE) results for Pa2Ga2Cu3 after structural relaxation.

Cell lengths 2.979, 3.836, 11.375 Å; angles 99.71, 90.00, 90.00 degrees
Last column: magnetic moment on the atom in μB.
Fractional coordinates of all 7 atoms:
1 Ga 0.500 0.715 0.431  0.00
2 Cu 0.500 0.446 0.892  0.00
3 Ga 0.500 0.285 0.569  0.00
4 Cu 0.000 0.000 0.000  0.00
5 Pa 0.000 0.135 0.271  0.29
6 Pa 0.000 0.865 0.729  0.29
7 Cu 0.500 0.554 0.108  0.00

Output
N(E_F) = 1.1367 states/eV per atom
E_form = 29.5 meV/atom
ΔE to the lowest computed polymorph = 133.2 meV/atom
DFT total energy = -5.30 eV/atom

=====

# 22
DFT (PBE) results for PaGa3Cu after structural relaxation.

Cell lengths 4.263, 4.264, 5.809 Å; angles 68.46, 68.46, 89.99 degrees
Last column: magnetic moment on the atom in μB.
Fractional coordinates of all 5 atoms:
1 Ga 0.144 0.447 0.417  0.00
2 Pa 0.392 0.195 0.922  0.43
3 Ga 0.797 0.601 0.111  0.00
4 Cu 0.031 0.834 0.644  0.01
5 Ga 0.644 0.948 0.417  0.00

Output
N(E_F) = 1.0093 states/eV per atom
E_form = -272.5 meV/atom
ΔE to the lowest computed polymorph = 0.0 meV/atom
DFT total energy = -4.81 eV/atom